The following is a DFT calculation (PBE) of a relaxed DyHoTe crystal.

Total energy, eV per atom: -4.940
Energy above the most stable polymorph in this dataset, eV per atom: 0.010
Symmetry: No. 11
E_form (uncorrected), meV per atom: -833

Cell and atoms, written as CIF:
```
data_DyHoTe
_chemical_formula_sum 'Dy6 Ho6 Te6'
_symmetry_space_group_name_H-M 'P 1'
_symmetry_Int_Tables_number 1
_symmetry_space_group_name_Hall 'P 1'
_cell_length_a 4.010
_cell_length_b 8.426
_cell_length_c 14.873
_cell_angle_alpha 90.95
_cell_angle_beta 90.00
_cell_angle_gamma 90.00
loop_
_atom_site_label
_atom_site_fract_x
_atom_site_fract_y
_atom_site_fract_z
Dy1 0.750 0.540 0.387
Dy2 0.250 0.967 0.709
Dy3 0.750 0.033 0.291
Dy4 0.750 0.643 0.093
Dy5 0.250 0.460 0.613
Dy6 0.250 0.357 0.907
Ho1 0.250 0.997 0.096
Ho2 0.250 0.862 0.452
Ho3 0.750 0.641 0.793
Ho4 0.750 0.138 0.548
Ho5 0.250 0.359 0.207
Ho6 0.750 0.003 0.904
Te1 0.250 0.726 0.944
Te2 0.750 0.269 0.749
Te3 0.750 0.743 0.592
Te4 0.750 0.274 0.056
Te5 0.250 0.257 0.408
Te6 0.250 0.731 0.251
```

***

The following is a DFT calculation (PBE) of a relaxed Dy4Ho3Te4 crystal.

Total energy, eV per atom: -4.946
Symmetry: No. 71
E_form (uncorrected), meV per atom: -882

Cell and atoms, written as CIF:
```
data_Dy4Ho3Te4
_chemical_formula_sum 'Dy4 Ho3 Te4'
_symmetry_space_group_name_H-M 'P 1'
_symmetry_Int_Tables_number 1
_symmetry_space_group_name_Hall 'P 1'
_cell_length_a 3.880
_cell_length_b 9.189
_cell_length_c 10.073
_cell_angle_alpha 117.14
_cell_angle_beta 101.10
_cell_angle_gamma 90.00
loop_
_atom_site_label
_atom_site_fract_x
_atom_site_fract_y
_atom_site_fract_z
Dy1 0.335 0.149 0.669
Dy2 0.665 0.480 0.331
Dy3 0.665 0.851 0.331
Dy4 0.335 0.520 0.669
Ho1 0.102 0.102 0.204
Ho2 0.898 0.898 0.796
Ho3 0.000 0.500 0.000
Te1 0.263 0.763 0.525
Te2 0.737 0.237 0.475
Te3 0.500 0.801 0.000
Te4 0.500 0.199 0.000
```

***

The following is a DFT calculation (PBE) of a relaxed Dy3HoTe6 crystal.

Total energy, eV per atom: -5.085
Energy above the most stable polymorph in this dataset, eV per atom: 0.000
Symmetry: No. 11
E_form (uncorrected), meV per atom: -1362

Cell and atoms, written as CIF:
```
data_Dy3HoTe6
_chemical_formula_sum 'Dy6 Ho2 Te12'
_symmetry_space_group_name_H-M 'P 1'
_symmetry_Int_Tables_number 1
_symmetry_space_group_name_Hall 'P 1'
_cell_length_a 4.339
_cell_length_b 12.457
_cell_length_c 12.784
_cell_angle_alpha 109.38
_cell_angle_beta 90.00
_cell_angle_gamma 90.00
loop_
_atom_site_label
_atom_site_fract_x
_atom_site_fract_y
_atom_site_fract_z
Dy1 0.750 0.430 0.833
Dy2 0.250 0.570 0.167
Dy3 0.750 0.684 0.503
Dy4 0.250 0.316 0.497
Dy5 0.750 0.155 0.079
Dy6 0.250 0.845 0.921
Ho1 0.750 0.044 0.693
Ho2 0.250 0.956 0.307
Te1 0.750 0.484 0.618
Te2 0.250 0.516 0.382
Te3 0.750 0.916 0.102
Te4 0.250 0.084 0.898
Te5 0.750 0.394 0.063
Te6 0.250 0.606 0.937
Te7 0.750 0.750 0.281
Te8 0.250 0.250 0.719
Te9 0.750 0.110 0.467
Te10 0.250 0.890 0.533
Te11 0.750 0.810 0.750
Te12 0.250 0.190 0.250
```

***

The following is a DFT calculation (PBE) of a relaxed Dy2HoTe3 crystal.

Total energy, eV per atom: -5.134
Energy above the most stable polymorph in this dataset, eV per atom: 0.021
Symmetry: No. 71
E_form (uncorrected), meV per atom: -1266

Cell and atoms, written as CIF:
```
data_Dy2HoTe3
_chemical_formula_sum 'Dy2 Ho1 Te3'
_symmetry_space_group_name_H-M 'P 1'
_symmetry_Int_Tables_number 1
_symmetry_space_group_name_Hall 'P 1'
_cell_length_a 4.377
_cell_length_b 6.126
_cell_length_c 7.504
_cell_angle_alpha 114.09
_cell_angle_beta 106.96
_cell_angle_gamma 90.00
loop_
_atom_site_label
_atom_site_fract_x
_atom_site_fract_y
_atom_site_fract_z
Dy1 0.832 0.832 0.163
Dy2 0.168 0.168 0.837
Ho1 0.500 0.500 0.500
Te1 0.835 0.335 0.170
Te2 0.165 0.665 0.830
Te3 0.500 0.000 0.500
```

***

The following is a DFT calculation (PBE) of a relaxed DyHo4Te5 crystal.

Total energy, eV per atom: -5.112
Energy above the most stable polymorph in this dataset, eV per atom: 0.003
Symmetry: No. 79
E_form (uncorrected), meV per atom: -1250

Cell and atoms, written as CIF:
```
data_DyHo4Te5
_chemical_formula_sum 'Dy1 Ho4 Te5'
_symmetry_space_group_name_H-M 'P 1'
_symmetry_Int_Tables_number 1
_symmetry_space_group_name_Hall 'P 1'
_cell_length_a 6.147
_cell_length_b 7.510
_cell_length_c 7.510
_cell_angle_alpha 80.36
_cell_angle_beta 65.84
_cell_angle_gamma 65.84
loop_
_atom_site_label
_atom_site_fract_x
_atom_site_fract_y
_atom_site_fract_z
Dy1 0.000 0.000 0.000
Ho1 0.399 0.398 0.805
Ho2 0.798 0.805 0.602
Ho3 0.205 0.195 0.398
Ho4 0.603 0.602 0.195
Te1 0.903 0.401 0.796
Te2 0.304 0.796 0.599
Te3 0.699 0.204 0.401
Te4 0.100 0.599 0.204
Te5 0.500 0.000 0.000
```

***

The following is a DFT calculation (PBE) of a relaxed Dy4HoTe5 crystal.

Total energy, eV per atom: -5.140
Symmetry: No. 87
E_form (uncorrected), meV per atom: -1270

Cell and atoms, written as CIF:
```
data_Dy4HoTe5
_chemical_formula_sum 'Dy4 Ho1 Te5'
_symmetry_space_group_name_H-M 'P 1'
_symmetry_Int_Tables_number 1
_symmetry_space_group_name_Hall 'P 1'
_cell_length_a 6.160
_cell_length_b 7.529
_cell_length_c 7.529
_cell_angle_alpha 80.37
_cell_angle_beta 65.85
_cell_angle_gamma 65.85
loop_
_atom_site_label
_atom_site_fract_x
_atom_site_fract_y
_atom_site_fract_z
Dy1 0.403 0.402 0.794
Dy2 0.805 0.794 0.598
Dy3 0.197 0.206 0.402
Dy4 0.599 0.598 0.206
Ho1 0.001 0.000 0.000
Te1 0.899 0.399 0.804
Te2 0.298 0.804 0.601
Te3 0.704 0.196 0.399
Te4 0.103 0.601 0.196
Te5 0.501 0.000 0.000
```

***

The following is a DFT calculation (PBE) of a relaxed DyHo2Te crystal.

Total energy, eV per atom: -4.410
Energy above the most stable polymorph in this dataset, eV per atom: 0.457
Symmetry: No. 166
E_form (uncorrected), meV per atom: -186

Cell and atoms, written as CIF:
```
data_DyHo2Te
_chemical_formula_sum 'Dy1 Ho2 Te1'
_symmetry_space_group_name_H-M 'P 1'
_symmetry_Int_Tables_number 1
_symmetry_space_group_name_Hall 'P 1'
_cell_length_a 3.781
_cell_length_b 3.781
_cell_length_c 10.982
_cell_angle_alpha 80.09
_cell_angle_beta 80.09
_cell_angle_gamma 60.00
loop_
_atom_site_label
_atom_site_fract_x
_atom_site_fract_y
_atom_site_fract_z
Te1 0.500 0.500 0.500
Ho1 0.102 0.102 0.693
Ho2 0.898 0.898 0.307
Dy1 0.000 0.000 0.000
```

***

The following is a DFT calculation (PBE) of a relaxed DyHo6Te8 crystal.

Total energy, eV per atom: -5.153
Symmetry: No. 225
E_form (uncorrected), meV per atom: -1339

Cell and atoms, written as CIF:
```
data_DyHo6Te8
_chemical_formula_sum 'Dy1 Ho6 Te8'
_symmetry_space_group_name_H-M 'P 1'
_symmetry_Int_Tables_number 1
_symmetry_space_group_name_Hall 'P 1'
_cell_length_a 8.639
_cell_length_b 8.639
_cell_length_c 8.639
_cell_angle_alpha 60.00
_cell_angle_beta 60.00
_cell_angle_gamma 60.00
loop_
_atom_site_label
_atom_site_fract_x
_atom_site_fract_y
_atom_site_fract_z
Dy1 0.000 0.000 0.000
Ho1 0.000 0.500 0.500
Ho2 0.500 0.000 0.000
Ho3 0.500 0.500 0.000
Ho4 0.000 0.000 0.500
Ho5 0.000 0.500 0.000
Ho6 0.500 0.000 0.500
Te1 0.750 0.750 0.750
Te2 0.250 0.250 0.250
Te3 0.744 0.256 0.256
Te4 0.256 0.744 0.744
Te5 0.256 0.256 0.744
Te6 0.744 0.744 0.256
Te7 0.744 0.256 0.744
Te8 0.256 0.744 0.256
```